DFT (GGA-PBE) results for a relaxed GaFeMoPt crystal.

CIF file:
```
data_GaFeMoPt
_chemical_formula_sum 'Ga4 Fe4 Mo4 Pt4'
_symmetry_space_group_name_H-M 'F -4 3 m'
_symmetry_Int_Tables_number 216
_symmetry_space_group_name_Hall 'F -4 2 3'
_cell_length_a 6.1222
_cell_length_b 6.1222
_cell_length_c 6.1222
_cell_angle_alpha 90.00
_cell_angle_beta 90.00
_cell_angle_gamma 90.00
loop_
_atom_site_label
_atom_site_type_symbol
_atom_site_fract_x
_atom_site_fract_y
_atom_site_fract_z
_atom_site_occupancy
Ga1 Ga 0.0000 0.0000 0.0000 1
Fe1 Fe 0.0000 0.0000 0.5000 1
Mo1 Mo 0.2500 0.2500 0.7500 1
Pt1 Pt 0.2500 0.2500 0.2500 1
```

The calculation puts the uncorrected energy at -7.239 eV per atom. The formation energy is -14.3 kJ per mole of atoms.